(1)
This record from the Alexandria database describes a crystal of HfTeH2 relaxed with PBEsol. The functional is meta-GGA SCAN.

```
HfTeH2
1.0
4.1839 0.0000 0.0000
2.0920 3.6234 0.0000
2.0920 1.2078 3.4162
Te H Hf
1 2 1
Direct
0.0000 0.0000 0.0000
0.7500 0.7500 0.7500
0.2500 0.2500 0.2500
0.5000 0.5000 0.5000
```

Calculated values
Theoretical density in g cm⁻³: 9.88
Space-group type: No. 225
E_tot in eV/atom: -26.19


(2)
This record from the Alexandria database describes a crystal of Hf3TlH relaxed with PBEsol. The functional is meta-GGA SCAN.

```
Hf3TlH
1.0
4.3849 0.0000 0.0000
0.0000 4.3849 0.0000
0.0000 0.0000 4.3849
H Hf Tl
1 3 1
Direct
0.0000 0.0000 0.0000
0.0000 0.5000 0.0000
0.0000 0.0000 0.5000
0.5000 0.0000 0.0000
0.5000 0.5000 0.5000
```

Calculated values
Theoretical density in g cm⁻³: 14.59
Space-group type: No. 221
E_tot in eV/atom: -52.99


(3)
This record from the Alexandria database describes a crystal of HfV3H relaxed with PBEsol. The functional is meta-GGA SCAN.

```
HfV3H
1.0
-0.8141 -3.4732 1.7463
2.0129 -1.9030 -2.8465
3.3258 0.3016 2.1503
H V Hf
1 3 1
Direct
0.0000 0.0000 0.0000
0.0000 0.5000 0.0000
0.5000 0.0000 0.0000
0.0000 0.0000 0.5000
0.5000 0.5000 0.5000
```

Calculated values
Theoretical density in g cm⁻³: 8.81
Space-group type: No. 221
E_tot in eV/atom: -23.58


(4)
This record from the Alexandria database describes a crystal of YHfH3 relaxed with PBEsol. The functional is meta-GGA SCAN.

```
YHfH3
1.0
3.8879 0.0000 0.0000
0.0000 3.8879 0.0000
0.0000 0.0000 3.8879
Hf H Y
1 3 1
Direct
0.5000 0.5000 0.5000
0.0000 0.0000 0.5000
0.5000 0.0000 0.0000
0.0000 0.5000 0.0000
0.0000 0.0000 0.0000
```

Calculated values
Theoretical density in g cm⁻³: 7.64
Space-group type: No. 221
E_tot in eV/atom: -20.03


(5)
This record from the Alexandria database describes a crystal of Y3HfH relaxed with PBEsol. The functional is meta-GGA SCAN.

```
Y3HfH
1.0
-3.3843 -2.7030 2.0380
2.1048 -3.9373 -1.7267
2.6513 -0.3246 3.9722
Y Hf H
3 1 1
Direct
0.0000 0.0000 0.5000
0.5000 0.0000 0.0000
0.0000 0.5000 0.0000
0.5000 0.5000 0.5000
0.0000 0.0000 0.0000
```

Calculated values
Theoretical density in g cm⁻³: 6.76
Space-group type: No. 221
E_tot in eV/atom: -29.96


(6)
This record from the Alexandria database describes a crystal of YHf3H relaxed with PBEsol. The functional is meta-GGA SCAN.

```
YHf3H
1.0
4.5272 0.0000 0.0000
0.0000 4.5272 0.0000
0.0000 0.0000 4.5272
Hf H Y
3 1 1
Direct
0.5000 0.0000 0.0000
0.0000 0.0000 0.5000
0.0000 0.5000 0.0000
0.0000 0.0000 0.0000
0.5000 0.5000 0.5000
```

Calculated values
Theoretical density in g cm⁻³: 11.19
Space-group type: No. 221
E_tot in eV/atom: -43.81


(7)
This record from the Alexandria database describes a crystal of Hf3ZnH relaxed with PBEsol. The functional is meta-GGA SCAN.

```
Hf3ZnH
1.0
4.2782 0.0000 0.0000
0.0000 4.2782 0.0000
0.0000 0.0000 4.2782
Hf Zn H
3 1 1
Direct
0.5000 0.0000 0.0000
0.0000 0.5000 0.0000
0.0000 0.0000 0.5000
0.5000 0.5000 0.5000
0.0000 0.0000 0.0000
```

Calculated values
Theoretical density in g cm⁻³: 12.76
Space-group type: No. 221
E_tot in eV/atom: -41.25


(8)
This record from the Alexandria database describes a crystal of Hf2ZrH2 relaxed with PBEsol. The functional is meta-GGA SCAN.

```
Hf2ZrH2
1.0
3.1390 0.0000 0.0000
0.0000 3.1390 0.0000
-1.5695 -1.5695 7.1361
Hf H Zr
2 2 1
Direct
0.6561 0.6561 0.3122
0.3439 0.3439 0.6878
0.7500 0.2500 0.5000
0.2500 0.7500 0.5000
0.0000 0.0000 0.0000
```

Calculated values
Theoretical density in g cm⁻³: 10.63
Space-group type: No. 139
E_tot in eV/atom: -32.87


(9)
This record from the Alexandria database describes a crystal of HgHI2 relaxed with PBEsol. The functional is meta-GGA SCAN.

```
HgHI2
1.0
-2.0740 -1.9910 6.3201
6.2535 0.0599 -1.7429
4.6144 4.3187 2.8748
I Hg H
4 2 2
Direct
0.5427 0.7500 0.3750
0.2073 0.7500 0.8750
0.3750 0.2500 0.2073
0.8750 0.2500 0.5427
0.0000 0.0000 0.0000
0.7500 0.5000 0.7500
0.5000 0.0000 0.5000
0.2500 0.5000 0.2500
```

Calculated values
Theoretical density in g cm⁻³: 7.39
Space-group type: No. 122
E_tot in eV/atom: -35.86


(10)
This record from the Alexandria database describes a crystal of ReHgHI2 relaxed with PBEsol. The functional is meta-GGA SCAN.

```
ReHgHI2
1.0
3.4776 0.0000 0.0000
0.0000 5.4498 0.0000
0.0000 0.0000 5.4498
I Re H Hg
2 1 1 1
Direct
0.0000 0.5000 0.0000
0.0000 0.0000 0.5000
0.5000 0.5000 0.5000
0.0000 0.0000 0.0000
0.5000 0.0000 0.0000
```

Calculated values
Theoretical density in g cm⁻³: 10.32
Space-group type: No. 123
E_tot in eV/atom: -41.84


(11)
This record from the Alexandria database describes a crystal of HgSb2HI relaxed with PBEsol. The functional is meta-GGA SCAN.

```
HgSb2HI
1.0
-3.5552 -1.3581 2.4718
2.8156 -1.4807 3.2362
-0.1984 4.9838 2.4530
H I Sb Hg
1 1 2 1
Direct
0.0000 0.0000 0.0000
0.0000 0.0000 0.5000
0.5000 0.0000 0.0000
0.0000 0.5000 0.0000
0.5000 0.5000 0.5000
```

Calculated values
Theoretical density in g cm⁻³: 8.30
Space-group type: No. 123
E_tot in eV/atom: -36.02


(12)
This record from the Alexandria database describes a crystal of InHg3H relaxed with PBEsol. The functional is meta-GGA SCAN.

```
InHg3H
1.0
4.6386 0.0000 0.0000
0.0000 4.6386 0.0000
0.0000 0.0000 4.6386
H Hg In
1 3 1
Direct
0.0000 0.0000 0.0000
0.0000 0.5000 0.0000
0.0000 0.0000 0.5000
0.5000 0.0000 0.0000
0.5000 0.5000 0.5000
```

Calculated values
Theoretical density in g cm⁻³: 11.94
Space-group type: No. 221
E_tot in eV/atom: -47.91